(a)
VASP calculation (PBE) on a relaxed YMo2Br crystal.

Results
Size of the total moment, μB/cell: 0.0
Crystal system: orthorhombic
V, Å³ per cell: 79

a b c (Å): 3.4327 4.2274 5.4167
angles (deg): 90.00 90.00 90.00
Last column: nearest neighbours and their distance in Å.
Element x y z (fractional)
Y  0.0000  0.0000  0.0000  4 Br 2.72
Mo  0.0000  0.5000  0.5000  4 Mo 2.72
Mo  0.5000  0.0000  0.5000  4 Mo 2.72
Br  0.5000  0.5000  0.0000  4 Y 2.72

***

(b)
VASP calculation (PBE) on a relaxed YMo2Br crystal.

Results
Size of the total moment, μB/cell: 0.6
Crystal system: tetragonal
V, Å³ per cell: 89

a b c (Å): 3.2894 3.2894 8.2043
angles (deg): 90.00 90.00 90.00
Last column: nearest neighbours and their distance in Å.
Element x y z (fractional)
Y  0.0000  0.0000  0.0000  4 Br 3.08, 5 Mo 3.13-3.30, 4 Y 3.29
Mo  0.0000  0.0000  0.5978  4 Mo 2.62
Mo  0.5000  0.5000  0.7450  4 Mo 2.62
Br  0.5000  0.5000  0.2457  4 Y 3.08, 4 Br 3.29

***

Quick look at relative energies in eV/atom: (a) 0.393; (b) 0.000.

***

(a)
VASP calculation (PBE) on a relaxed YMoBr2 crystal.

Results
Size of the total moment, μB/cell: 0.0
Crystal system: trigonal
V, Å³ per cell: 91

a b c (Å): 9.6100 9.6100 9.6100
angles (deg): 20.06 20.06 20.06
Last column: nearest neighbours and their distance in Å.
Element x y z (fractional)
Y  0.0000  0.0000  0.0000  6 Br 2.90
Mo  0.5000  0.5000  0.5000  2 Br 2.54
Br  0.4100  0.4100  0.4100  1 Mo 2.54
Br  0.5900  0.5900  0.5900  1 Mo 2.54

***

(b)
VASP calculation (PBE) on a relaxed YMoBr2 crystal.

Results
Size of the total moment, μB/cell: 0.5
Crystal system: orthorhombic
V, Å³ per cell: 116

a b c (Å): 7.6425 7.6425 7.6425
angles (deg): 153.15 144.66 44.93
Last column: nearest neighbours and their distance in Å.
Element x y z (fractional)
Y  0.0000  0.0000  0.0000  4 Mo 2.92, 4 Br 3.06
Mo  0.5000  0.5000  0.0000  4 Br 2.67, 4 Y 2.92
Br  0.3587  0.8587  0.5000  2 Mo 2.67
Br  0.6413  0.1413  0.5000  2 Mo 2.67

***

(c)
VASP calculation (PBE) on a relaxed YMoBr2 crystal.

Results
Size of the total moment, μB/cell: 3.0
Crystal system: cubic
V, Å³ per cell: 86

a b c (Å): 4.9529 4.9529 4.9529
angles (deg): 60.00 60.00 60.00
Last column: nearest neighbours and their distance in Å.
Element x y z (fractional)
Y  0.0000  0.0000  0.0000  8 Br 3.03
Mo  0.5000  0.5000  0.5000  8 Br 3.03
Br  0.2500  0.2500  0.2500  4 Mo 3.03, 4 Y 3.03
Br  0.7500  0.7500  0.7500  4 Mo 3.03, 4 Y 3.03

***

Quick look at relative energies in eV/atom: (a) 0.296; (b) 0.000; (c) 0.414.

***

(a)
VASP calculation (PBE) on a relaxed YMoBr2 crystal.

Results
Size of the total moment, μB/cell: 5.0
Crystal system: cubic
V, Å³ per cell: 102

a b c (Å): 5.2499 5.2499 5.2499
angles (deg): 60.00 60.00 60.00
Last column: nearest neighbours and their distance in Å.
Element x y z (fractional)
Y  0.0000  0.0000  0.0000  4 Br 3.21, 4 Mo 3.21
Mo  0.2500  0.2500  0.2500  4 Br 3.21, 4 Y 3.21
Br  0.5000  0.5000  0.5000  4 Br 3.21, 4 Mo 3.21
Br  0.7500  0.7500  0.7500  4 Y 3.21, 4 Br 3.21

***

(b)
VASP calculation (PBE) on a relaxed YMoBr2 crystal.

Results
Size of the total moment, μB/cell: 2.4
Crystal system: monoclinic
V, Å³ per cell: 128

a b c (Å): 7.5768 7.5768 4.8555
angles (deg): 93.14 93.14 27.48
Last column: nearest neighbours and their distance in Å.
Element x y z (fractional)
Y  0.0000  0.0000  0.0000  4 Br 2.95, 4 Mo 3.02
Mo  0.5000  0.5000  0.5000  2 Br 2.60
Br  0.3546  0.3546  0.7794  1 Mo 2.60
Br  0.6454  0.6454  0.2206  1 Mo 2.60

***

(c)
VASP calculation (PBE) on a relaxed YMoBr2 crystal.

Results
Size of the total moment, μB/cell: 3.1
Crystal system: tetragonal
V, Å³ per cell: 94

a b c (Å): 6.3448 6.3448 6.3448
angles (deg): 142.52 142.52 54.04
Last column: nearest neighbours and their distance in Å.
Element x y z (fractional)
Y  0.0000  0.0000  0.0000  4 Br 2.88
Mo  0.7500  0.2500  0.5000  4 Br 2.88
Br  0.2500  0.7500  0.5000  4 Mo 2.88
Br  0.5000  0.5000  0.0000  4 Y 2.88

***

Quick look at relative energies in eV/atom: (a) 0.667; (b) 0.000; (c) 0.451.

***

(a)
VASP calculation (PBE) on a relaxed YMoBr2 crystal.

Results
Size of the total moment, μB/cell: 3.5
Crystal system: orthorhombic
V, Å³ per cell: 100

a b c (Å): 3.5387 3.5387 9.3804
angles (deg): 90.00 90.00 121.28
Last column: nearest neighbours and their distance in Å.
Element x y z (fractional)
Y  0.0000  0.0000  0.0000  4 Br 2.93
Mo  0.0000  0.0000  0.5000  4 Br 2.90
Br  0.5000  0.5000  0.2518  2 Mo 2.90, 2 Y 2.93
Br  0.5000  0.5000  0.7482  2 Mo 2.90, 2 Y 2.93

***

(b)
VASP calculation (PBE) on a relaxed YMoBr2 crystal.

Results
Size of the total moment, μB/cell: 1.3
Crystal system: orthorhombic
V, Å³ per cell: 99

a b c (Å): 7.3677 7.3677 7.3677
angles (deg): 153.62 146.16 43.41
Last column: nearest neighbours and their distance in Å.
Element x y z (fractional)
Y  0.0000  0.0000  0.0000  2 Mo 2.90, 6 Br 3.00-3.08
Mo  0.8272  0.3272  0.5000  4 Br 2.74, 2 Y 2.90
Br  0.3467  0.8467  0.5000  4 Mo 2.74, 2 Y 3.00
Br  0.6052  0.6052  0.0000  4 Y 3.08, 2 Br 3.36

***

(c)
VASP calculation (PBE) on a relaxed YMoBr2 crystal.

Results
Size of the total moment, μB/cell: 2.8
Crystal system: monoclinic
V, Å³ per cell: 97

a b c (Å): 5.7633 5.7633 3.6392
angles (deg): 107.55 107.55 109.59
Last column: nearest neighbours and their distance in Å.
Element x y z (fractional)
Y  0.0000  0.0000  0.0000  4 Br 2.88
Mo  0.5000  0.5000  0.0000  4 Br 2.88
Br  0.0000  0.5000  0.0000  2 Mo 2.88, 2 Y 2.88
Br  0.5000  0.0000  0.0000  2 Mo 2.88, 2 Y 2.88

***

Quick look at relative energies in eV/atom: (a) 0.321; (b) 0.000; (c) 0.117.